# 1
A plane-wave DFT calculation with GGA-PBEsol was carried out for a relaxed structure of Sr2CdBPb.

```
data_Sr2CdBPb
_symmetry_space_group_name_H-M 'P 4/m m m'
_symmetry_Int_Tables_number 123
_symmetry_space_group_name_Hall '-P 4 2'
_cell_length_a 5.6878
_cell_length_b 5.6878
_cell_length_c 4.3091
_cell_angle_alpha 90.00
_cell_angle_beta 90.00
_cell_angle_gamma 90.00
loop_
_atom_site_label
_atom_site_type_symbol
_atom_site_fract_x
_atom_site_fract_y
_atom_site_fract_z
Sr1 Sr 0.0000 0.5000 0.0000
Cd1 Cd 0.0000 0.0000 0.5000
B1 B 0.0000 0.0000 0.0000
Pb1 Pb 0.5000 0.5000 0.5000
```

Values from the calculation:
Fermi-level density of states, states/eV/f.u.: 4.9
Energy of formation from the pure elements, meV/atom: 31

# 2
A plane-wave DFT calculation with GGA-PBEsol was carried out for a relaxed structure of CdBPt2.

```
data_CdBPt2
_symmetry_space_group_name_H-M 'F m -3 m'
_symmetry_Int_Tables_number 225
_symmetry_space_group_name_Hall '-F 4 2 3'
_cell_length_a 6.0947
_cell_length_b 6.0947
_cell_length_c 6.0947
_cell_angle_alpha 90.00
_cell_angle_beta 90.00
_cell_angle_gamma 90.00
loop_
_atom_site_label
_atom_site_type_symbol
_atom_site_fract_x
_atom_site_fract_y
_atom_site_fract_z
Cd1 Cd 0.0000 0.0000 0.0000
B1 B 0.0000 0.0000 0.5000
Pt1 Pt 0.2500 0.2500 0.2500
```

Values from the calculation:
Fermi-level density of states, states/eV/f.u.: 2.8
Energy of formation from the pure elements, meV/atom: 543

# 3
A plane-wave DFT calculation with GGA-PBEsol was carried out for a relaxed structure of CdBPt2.

```
data_CdBPt2
_symmetry_space_group_name_H-M 'I -4 2 d'
_symmetry_Int_Tables_number 122
_symmetry_space_group_name_Hall 'I -4 2bw'
_cell_length_a 6.6094
_cell_length_b 6.6094
_cell_length_c 5.4274
_cell_angle_alpha 90.00
_cell_angle_beta 90.00
_cell_angle_gamma 90.00
loop_
_atom_site_label
_atom_site_type_symbol
_atom_site_fract_x
_atom_site_fract_y
_atom_site_fract_z
Cd1 Cd 0.0000 0.0000 0.0000
B1 B 0.0000 0.0000 0.5000
Pt1 Pt 0.1533 0.2500 0.6250
```

Values from the calculation:
Fermi-level density of states, states/eV/f.u.: 1.3
Energy of formation from the pure elements, meV/atom: -208

# 4
A plane-wave DFT calculation with GGA-PBEsol was carried out for a relaxed structure of RbCd2BTe.

```
data_RbCd2BTe
_symmetry_space_group_name_H-M 'P 4/m m m'
_symmetry_Int_Tables_number 123
_symmetry_space_group_name_Hall '-P 4 2'
_cell_length_a 6.0070
_cell_length_b 6.0070
_cell_length_c 4.5128
_cell_angle_alpha 90.00
_cell_angle_beta 90.00
_cell_angle_gamma 90.00
loop_
_atom_site_label
_atom_site_type_symbol
_atom_site_fract_x
_atom_site_fract_y
_atom_site_fract_z
Rb1 Rb 0.0000 0.0000 0.0000
Cd1 Cd 0.0000 0.5000 0.5000
B1 B 0.5000 0.5000 0.0000
Te1 Te 0.5000 0.5000 0.5000
```

Values from the calculation:
Fermi-level density of states, states/eV/f.u.: 3.3
E_form (uncorrected), meV/atom: 870

# 5
A plane-wave DFT calculation with GGA-PBEsol was carried out for a relaxed structure of CdRe2B.

```
data_CdRe2B
_symmetry_space_group_name_H-M 'F m -3 m'
_symmetry_Int_Tables_number 225
_symmetry_space_group_name_Hall '-F 4 2 3'
_cell_length_a 5.9978
_cell_length_b 5.9978
_cell_length_c 5.9978
_cell_angle_alpha 90.00
_cell_angle_beta 90.00
_cell_angle_gamma 90.00
loop_
_atom_site_label
_atom_site_type_symbol
_atom_site_fract_x
_atom_site_fract_y
_atom_site_fract_z
Cd1 Cd 0.0000 0.0000 0.0000
Re1 Re 0.2500 0.2500 0.2500
B1 B 0.0000 0.0000 0.5000
```

Values from the calculation:
Fermi-level density of states, states/eV/f.u.: 3.3
Energy of formation from the pure elements, meV/atom: 1227

# 6
A plane-wave DFT calculation with GGA-PBEsol was carried out for a relaxed structure of Cd2BRh2.

```
data_Cd2BRh2
_symmetry_space_group_name_H-M 'P 4/m b m'
_symmetry_Int_Tables_number 127
_symmetry_space_group_name_Hall '-P 4 2ab'
_cell_length_a 5.6936
_cell_length_b 5.6936
_cell_length_c 4.5381
_cell_angle_alpha 90.00
_cell_angle_beta 90.00
_cell_angle_gamma 90.00
loop_
_atom_site_label
_atom_site_type_symbol
_atom_site_fract_x
_atom_site_fract_y
_atom_site_fract_z
Cd1 Cd 0.1664 0.3336 0.0000
B1 B 0.0000 0.0000 0.5000
Rh1 Rh 0.1626 0.6626 0.5000
```

Values from the calculation:
Fermi-level density of states, states/eV/f.u.: 2.5
Energy of formation from the pure elements, meV/atom: -175

# 7
A plane-wave DFT calculation with GGA-PBEsol was carried out for a relaxed structure of SrCdB2Rh.

```
data_SrCdB2Rh
_symmetry_space_group_name_H-M 'P 4/m m m'
_symmetry_Int_Tables_number 123
_symmetry_space_group_name_Hall '-P 4 2'
_cell_length_a 4.2770
_cell_length_b 4.2770
_cell_length_c 5.1138
_cell_angle_alpha 90.00
_cell_angle_beta 90.00
_cell_angle_gamma 90.00
loop_
_atom_site_label
_atom_site_type_symbol
_atom_site_fract_x
_atom_site_fract_y
_atom_site_fract_z
Sr1 Sr 0.0000 0.0000 0.0000
Cd1 Cd 0.5000 0.5000 0.5000
B1 B 0.0000 0.5000 0.5000
Rh1 Rh 0.5000 0.5000 0.0000
```

Values from the calculation:
Fermi-level density of states, states/eV/f.u.: 2.3
Energy of formation from the pure elements, meV/atom: 1288

# 8
A plane-wave DFT calculation with GGA-PBEsol was carried out for a relaxed structure of Cd3BS.

```
data_Cd3BS
_symmetry_space_group_name_H-M 'P m -3 m'
_symmetry_Int_Tables_number 221
_symmetry_space_group_name_Hall '-P 4 2 3'
_cell_length_a 4.9883
_cell_length_b 4.9883
_cell_length_c 4.9883
_cell_angle_alpha 90.00
_cell_angle_beta 90.00
_cell_angle_gamma 90.00
loop_
_atom_site_label
_atom_site_type_symbol
_atom_site_fract_x
_atom_site_fract_y
_atom_site_fract_z
Cd1 Cd 0.0000 0.0000 0.5000
B1 B 0.5000 0.5000 0.5000
S1 S 0.0000 0.0000 0.0000
```

Values from the calculation:
Fermi-level density of states, states/eV/f.u.: 2.7
E_form (uncorrected), meV/atom: 1272

# 9
A plane-wave DFT calculation with GGA-PBEsol was carried out for a relaxed structure of CdSn3B.

```
data_CdSn3B
_symmetry_space_group_name_H-M 'P m -3 m'
_symmetry_Int_Tables_number 221
_symmetry_space_group_name_Hall '-P 4 2 3'
_cell_length_a 5.3801
_cell_length_b 5.3801
_cell_length_c 5.3801
_cell_angle_alpha 90.00
_cell_angle_beta 90.00
_cell_angle_gamma 90.00
loop_
_atom_site_label
_atom_site_type_symbol
_atom_site_fract_x
_atom_site_fract_y
_atom_site_fract_z
Cd1 Cd 0.0000 0.0000 0.0000
Sn1 Sn 0.0000 0.0000 0.5000
B1 B 0.5000 0.5000 0.5000
```

Values from the calculation:
Fermi-level density of states, states/eV/f.u.: 3.4
Energy of formation from the pure elements, meV/atom: 1530

# 10
A plane-wave DFT calculation with GGA-PBEsol was carried out for a relaxed structure of Sr2CdB.

```
data_Sr2CdB
_symmetry_space_group_name_H-M 'F m -3 m'
_symmetry_Int_Tables_number 225
_symmetry_space_group_name_Hall '-F 4 2 3'
_cell_length_a 7.4400
_cell_length_b 7.4400
_cell_length_c 7.4400
_cell_angle_alpha 90.00
_cell_angle_beta 90.00
_cell_angle_gamma 90.00
loop_
_atom_site_label
_atom_site_type_symbol
_atom_site_fract_x
_atom_site_fract_y
_atom_site_fract_z
Sr1 Sr 0.2500 0.2500 0.2500
Cd1 Cd 0.0000 0.0000 0.0000
B1 B 0.0000 0.0000 0.5000
```

Values from the calculation:
Fermi-level density of states, states/eV/f.u.: 3.4
Energy of formation from the pure elements, meV/atom: 399

# 11
A plane-wave DFT calculation with GGA-PBEsol was carried out for a relaxed structure of TlCdB2.

```
data_TlCdB2
_symmetry_space_group_name_H-M 'F m -3 m'
_symmetry_Int_Tables_number 225
_symmetry_space_group_name_Hall '-F 4 2 3'
_cell_length_a 6.3202
_cell_length_b 6.3202
_cell_length_c 6.3202
_cell_angle_alpha 90.00
_cell_angle_beta 90.00
_cell_angle_gamma 90.00
loop_
_atom_site_label
_atom_site_type_symbol
_atom_site_fract_x
_atom_site_fract_y
_atom_site_fract_z
Tl1 Tl 0.0000 0.0000 0.0000
Cd1 Cd 0.0000 0.0000 0.5000
B1 B 0.2500 0.2500 0.2500
```

Values from the calculation:
Fermi-level density of states, states/eV/f.u.: 1.5
Energy of formation from the pure elements, meV/atom: 1614

# 12
A plane-wave DFT calculation with GGA-PBEsol was carried out for a relaxed structure of TlCd3B.

```
data_TlCd3B
_symmetry_space_group_name_H-M 'P m -3 m'
_symmetry_Int_Tables_number 221
_symmetry_space_group_name_Hall '-P 4 2 3'
_cell_length_a 5.3771
_cell_length_b 5.3771
_cell_length_c 5.3771
_cell_angle_alpha 90.00
_cell_angle_beta 90.00
_cell_angle_gamma 90.00
loop_
_atom_site_label
_atom_site_type_symbol
_atom_site_fract_x
_atom_site_fract_y
_atom_site_fract_z
Tl1 Tl 0.0000 0.0000 0.0000
Cd1 Cd 0.0000 0.0000 0.5000
B1 B 0.5000 0.5000 0.5000
```

Values from the calculation:
Fermi-level density of states, states/eV/f.u.: 3.7
Energy of formation from the pure elements, meV/atom: 1495